Record 1
Entry from Alexandria: a relaxed structure of Sr3Tl2Sb4 (GGA-PBE).

Computed properties:
Its mass density is 6.3 g cm⁻³. The calculation puts the formation energy without anion corrections at -13.84 kcal/mol of atoms. The calculation puts the uncorrected energy at -3.519 eV per atom. The total magnetization comes out at 0.0 μB/f.u.

a b c (Å): 4.875 7.728 8.924
angles (deg): 107.19 105.83 89.99
Atoms (fractional coordinates):
1 Sb 0.782 0.754 0.565
2 Sb 0.499 0.689 0.998
3 Sb 0.501 0.311 0.002
4 Sb 0.218 0.246 0.435
5 Sr 0.868 0.417 0.736
6 Sr 0.132 0.583 0.264
7 Sr 0.000 0.000 0.000
8 Tl 0.334 0.998 0.670
9 Tl 0.666 0.002 0.330


Record 2
Entry from Alexandria: a relaxed structure of PmPr2Sb (GGA-PBE).

Computed properties:
Its mass density is 7.0 g cm⁻³. The calculation puts the formation energy without anion corrections at -12.92 kcal/mol of atoms. The calculation puts the uncorrected energy at -5.168 eV per atom. The total magnetization comes out at 0.0 μB/f.u.

a b c (Å): 4.670 4.663 12.133
angles (deg): 90.00 101.07 90.00
Atoms (fractional coordinates):
1 Pr 0.939 0.250 0.878
2 Pr 0.431 0.750 0.862
3 Pr 0.061 0.750 0.122
4 Pr 0.569 0.250 0.138
5 Sb 0.830 0.750 0.659
6 Sb 0.170 0.250 0.341
7 Pm 0.696 0.750 0.392
8 Pm 0.304 0.250 0.608